DFT (PBE) results for Ba5Ga2I after structural relaxation.

Cell: 9.6267 9.6267 10.1192 Å, 118.40 118.40 90.00°
With the nearest neighbours (Å) after each atom.
Fractional coordinates of all 16 atoms:
Ba1 0.5171 0.7129 0.7300  3 Ga 3.46-3.49
Ba2 0.7871 0.9829 0.2700  3 Ga 3.46-3.49
Ba3 0.0000 0.0000 0.0000  4 Ga 3.72-3.73, 2 I 3.74
Ba4 0.5000 0.5000 0.0000  4 Ga 3.72-3.73, 2 I 3.74
Ba5 0.2129 0.0171 0.7300  3 Ga 3.46-3.49
Ba6 0.7129 0.2129 0.7300  3 Ga 3.46-3.49
Ba7 0.0171 0.5171 0.7300  3 Ga 3.46-3.49
Ba8 0.2871 0.7871 0.2700  3 Ga 3.46-3.49
Ba9 0.9829 0.4829 0.2700  3 Ga 3.46-3.49
Ba10 0.4829 0.2871 0.2700  3 Ga 3.46-3.49
Ga1 0.1388 0.3612 0.0000  8 Ba 3.46-3.73, 1 Ga 3.78
Ga2 0.6388 0.1388 0.0000  8 Ba 3.46-3.73, 1 Ga 3.78
Ga3 0.3612 0.8612 0.0000  8 Ba 3.46-3.73, 1 Ga 3.78
Ga4 0.8612 0.6388 0.0000  8 Ba 3.46-3.72, 1 Ga 3.78
I1 0.7500 0.7500 0.5000  10 Ba 3.74-4.04
I2 0.2500 0.2500 0.5000  10 Ba 3.74-4.04

Results
Its density is 4.561 g/cm³. As for the formation energy (no corrections): -0.526 eV per atom.

DFT (PBE) results for Ba3GaI7 after structural relaxation.

Cell: 10.0606 10.0606 11.4670 Å, 90.00 90.00 108.40°
With the nearest neighbours (Å) after each atom.
Fractional coordinates of all 22 atoms:
Ba1 0.4999 0.4999 0.5000  8 I 3.57-3.75
Ba2 0.5001 0.5001 0.0000  8 I 3.57-3.75
Ba3 0.5467 0.0034 0.2507  7 I 3.47-3.59
Ba4 0.4533 0.9966 0.7507  7 I 3.47-3.59
Ba5 0.0034 0.5467 0.7493  7 I 3.47-3.59
Ba6 0.9966 0.4533 0.2493  7 I 3.47-3.59
Ga1 0.9998 0.9998 0.5000  6 I 3.23-3.42
Ga2 0.0002 0.0002 0.0000  6 I 3.23-3.42
I1 0.6439 0.8907 0.5260  1 Ga 3.41, 3 Ba 3.57-3.75
I2 0.3561 0.1093 0.0260  1 Ga 3.41, 3 Ba 3.57-3.75
I3 0.8907 0.6439 0.4740  1 Ga 3.41, 3 Ba 3.57-3.75
I4 0.1093 0.3561 0.9740  1 Ga 3.41, 3 Ba 3.57-3.75
I5 0.1099 0.3570 0.5247  1 Ga 3.42, 3 Ba 3.57-3.74
I6 0.8901 0.6430 0.0247  1 Ga 3.42, 3 Ba 3.57-3.74
I7 0.3570 0.1099 0.4753  1 Ga 3.42, 3 Ba 3.57-3.74
I8 0.6430 0.8901 0.9753  1 Ga 3.42, 3 Ba 3.57-3.74
I9 0.3647 0.6353 0.2500  4 Ba 3.58-3.62
I10 0.6353 0.3647 0.7500  4 Ba 3.58-3.62
I11 0.6306 0.3694 0.2500  4 Ba 3.51-3.57
I12 0.3694 0.6306 0.7500  4 Ba 3.51-3.57
I13 0.9088 0.0912 0.2500  2 Ga 3.23, 2 Ba 3.47
I14 0.0912 0.9088 0.7500  2 Ga 3.23, 2 Ba 3.47

Results
Its density is 4.131 g/cm³. As for the formation energy (no corrections): -1.492 eV per atom.

DFT (PBE) results for BaGaI after structural relaxation.

Cell: 9.5748 4.5127 12.5628 Å, 90.00 107.06 90.00°
With the nearest neighbours (Å) after each atom.
Fractional coordinates of all 12 atoms:
I1 0.7312 0.0000 0.8292  4 Ba 3.55-3.58
I2 0.7312 0.5000 0.3292  4 Ba 3.55-3.58
I3 0.0330 0.0000 0.1779  4 Ba 3.51-3.62
I4 0.0330 0.5000 0.6779  4 Ba 3.51-3.62
Ba1 0.0155 0.0000 0.4602  5 I 3.51-3.60, 3 Ga 3.51-3.67
Ba2 0.0155 0.5000 0.9602  5 I 3.51-3.60, 3 Ga 3.51-3.67
Ba3 0.4282 0.0000 0.2684  6 Ga 3.50-3.72, 3 I 3.58-3.62
Ba4 0.4282 0.5000 0.7684  6 Ga 3.50-3.72, 3 I 3.58-3.62
Ga1 0.3991 0.0000 0.5400  2 Ga 2.47
Ga2 0.3991 0.5000 0.0400  2 Ga 2.47
Ga3 0.3204 0.0000 0.9668  2 Ga 2.47
Ga4 0.3204 0.5000 0.4668  2 Ga 2.47

Results
Its density is 4.274 g/cm³. As for the formation energy (no corrections): -0.929 eV per atom.